[1]
Material: Ca2AgPtN
Method: DFT, GGA-PBE
State: relaxed

Magnetic moment   0.00 μB per atom
Calculated total energy   -0.3538 Ry per atom
V   19.9 A^3/atom
ΔE_f (raw)   -0.57 eV per atom

Lattice parameters (Å, degrees): 5.043 5.043 3.914 90.00 90.00 90.00
Element x y z (fractional)
Ca 0.000 0.500 0.000
Ca 0.500 0.000 0.000
Ag 0.000 0.000 0.500
Pt 0.500 0.500 0.500
N 0.500 0.500 0.000

---

[2]
Material: MgHgRu2
Method: DFT, GGA-PBE
State: relaxed

Relative energy among the computed polymorphs   0.000 eV/atom
Magnetic moment   0.00 μB per atom
Calculated total energy   -0.3702 Ry per atom
V   16.8 A^3/atom
Formation enthalpy at 0 K   76 meV/atom

Lattice parameters (Å, degrees): 2.908 2.908 7.964 90.00 90.00 90.00
Element x y z (fractional)
Mg 0.000 0.000 0.000
Hg 0.500 0.500 0.704
Ru 0.000 0.000 0.435
Ru 0.500 0.500 0.239

---

[3]
Material: Cr2SbRuCl
Method: DFT, GGA-PBE
State: relaxed

Magnetic moment   1.51 μB per atom
Calculated total energy   -0.4554 Ry per atom
V   24.0 A^3/atom
ΔE_f (raw)   0.70 eV per atom

Lattice parameters (Å, degrees): 4.924 4.924 4.939 90.00 90.00 90.00
Element x y z (fractional)
Cr 0.000 0.500 0.000
Cr 0.500 0.000 0.000
Sb 0.000 0.000 0.500
Ru 0.000 0.000 0.000
Cl 0.500 0.500 0.500